Entry 1:
## Lu2B4O9 (PBE-GGA)

Data for a relaxed Lu2B4O9 crystal. Values from VASP.

```
&SYSTEM
  ibrav = 0, nat = 30, ntyp = 3
/
ATOMIC_SPECIES
Lu 174.97 Lu.upf
B 10.81 B.upf
O 16.00 O.upf
CELL_PARAMETERS angstrom
6.111 0.000 0.000
-1.337 6.218 0.000
-0.953 -1.872 7.124
ATOMIC_POSITIONS angstrom
Lu -0.077 0.004 2.066
Lu 1.114 3.518 2.549
Lu 2.707 0.829 4.575
Lu 3.898 4.343 5.058
B -0.322 1.006 4.625
B -0.820 2.528 6.605
B 0.049 0.236 6.989
B 2.655 0.519 1.368
B 1.166 3.827 5.756
B 3.773 4.110 0.135
B 4.641 1.819 0.519
B 4.143 3.340 2.499
O -1.063 4.897 0.170
O -1.213 1.952 5.321
O -1.023 4.251 3.199
O 0.529 0.163 5.605
O 0.876 3.491 0.310
O 0.694 1.544 3.704
O -0.116 3.790 6.239
O 1.700 1.491 1.047
O 2.245 -0.382 2.315
O 1.576 4.729 4.809
O 2.121 2.856 6.076
O 3.937 0.556 0.885
O 3.127 2.802 3.420
O 2.945 0.855 6.814
O 3.292 4.183 1.519
O 4.844 0.095 3.925
O 5.034 2.394 1.803
O 4.884 -0.551 6.954
```

Computed properties:
Formation energy without anion corrections in eV per atom: -2.86
Electronic total energy in eV/f.u.: -123.327
Total moment in Bohr magnetons per cell: 0.00

---

Entry 2:
## SbAuCl (PBE-GGA)

Data for a relaxed SbAuCl crystal. Values from VASP.

```
&SYSTEM
  ibrav = 0, nat = 3, ntyp = 3
/
ATOMIC_SPECIES
Sb 121.76 Sb.upf
Au 196.97 Au.upf
Cl 35.45 Cl.upf
CELL_PARAMETERS angstrom
3.905 0.000 0.000
-1.953 3.382 0.000
0.000 0.000 5.687
ATOMIC_POSITIONS angstrom
Sb 0.000 0.000 0.000
Au 1.953 1.127 1.560
Cl 0.000 2.255 3.388
```

Computed properties:
Formation energy without anion corrections in eV per atom: -0.10
Electronic total energy in eV/f.u.: -9.544
Total moment in Bohr magnetons per cell: 0.00
Distance to the lowest polymorph of the same formula in meV per atom: 159